Crystalline CaHoLuSc at its relaxed geometry, computed with GGA-PBE.

abc: 7.873 7.873 7.873
angles: 90.00 90.00 90.00
Space group F-43m (No. 216)
Unique sites:
Ca  0.000  0.000  0.000
Ho  0.250  0.250  0.750
Lu  0.250  0.250  0.250
Sc  0.000  0.000  0.500

Summary:
**ΔH_f (0 K)**: 4.585 kcal/mol of atoms
**Electronic total energy**: -0.1528 hartree per atom

=====

Crystalline Dy2HgSb at its relaxed geometry, computed with GGA-PBE.

abc: 3.912 3.912 6.881
angles: 90.00 90.00 90.00
Space group P4/mmm (No. 123)
Unique sites:
Dy  0.000  0.000  0.245
Hg  0.500  0.500  0.500
Sb  0.500  0.500  0.000

Summary:
**Raw formation energy**: -0.67 eV per atom
**Electronic total energy**: -0.1500 hartree per atom
**ΔE to the lowest computed polymorph**: 76.9 meV/atom

=====

Crystalline TmSbAu at its relaxed geometry, computed with GGA-PBE.

abc: 4.4881 4.4881 4.2365
angles: 90.00 90.00 120.00
Space group P3m1 (No. 156)
Unique sites:
Tm  0.0000  0.0000  0.0000
Sb  0.6667  0.3333  0.5593
Au  0.3333  0.6667  0.3287

Summary:
**Raw formation energy**: -0.72 eV per atom
**Electronic total energy**: -0.1719 hartree per atom